Density functional theory data (PBE-GGA) for an optimized crystal structure of Pr6Pt2C.

extended XYZ file:
```
18
Lattice="6.7605 0.0000 -0.0054 0.0000 7.4286 0.0000 0.3260 0.0000 10.1341" Properties=species:S:1:pos:R:3 pbc="T T T"
Pr 5.5049 5.0021 0.6030
Pr 2.2876 6.1408 5.6728
Pr 4.4827 3.4348 7.7070
Pr 2.6038 3.9938 2.4217
Pr 1.3500 2.2868 5.6856
Pr 2.5192 6.0011 9.5128
Pr 1.5816 2.4265 9.5257
Pr 5.7365 5.1418 4.4431
Pr 4.7988 1.2878 4.4559
Pr 6.1470 7.1491 7.4861
Pr 0.9394 0.2795 2.6426
Pr 4.5672 1.4275 0.6159
Pt 3.2753 0.7498 7.5561
Pt 6.4925 2.9645 2.4863
Pt 0.5939 4.4641 7.6424
Pt 3.8112 6.6788 2.5726
C 0.1630 0.0000 5.0671
C 3.3802 3.7143 -0.0027
```

## Properties
**Total moment**: 0.0 μB per cell
**ΔH_f (0 K)**: -0.5404 eV per atom
**E_tot**: -6.094 eV per atom
**DOS(E_F)**: 17.92 states/eV/cell
**Symmetry**: P2_1/c (14)

---

Density functional theory data (PBE-GGA) for an optimized crystal structure of Pr3PuC.

extended XYZ file:
```
5
Lattice="5.2590 0.0000 0.0000 0.0000 5.2590 0.0000 0.0000 0.0000 5.2590" Properties=species:S:1:pos:R:3 pbc="T T T"
Pr 2.6295 0.0000 0.0000
Pr 0.0000 2.6295 0.0000
Pr 0.0000 0.0000 2.6295
C 0.0000 0.0000 0.0000
Pu 2.6295 2.6295 2.6295
```

## Properties
**Total moment**: 7.6 μB per cell
**ΔH_f (0 K)**: 0.2571 eV per atom
**E_tot**: -7.322 eV per atom
**DOS(E_F)**: 16.02 states/eV/cell
**Symmetry**: Pm-3m (221)

---

Density functional theory data (PBE-GGA) for an optimized crystal structure of PrPuC.

extended XYZ file:
```
3
Lattice="4.4493 0.0000 0.0000 2.2247 3.8532 0.0000 2.2247 1.2844 3.6329" Properties=species:S:1:pos:R:3 pbc="T T T"
C 2.2247 1.2844 0.9082
Pr 4.4493 2.5688 1.8164
Pu 0.0000 0.0000 0.0000
```

## Properties
**Total moment**: 5.8 μB per cell
**ΔH_f (0 K)**: 0.4268 eV per atom
**E_tot**: -9.018 eV per atom
**Polymorph energy (0 for the lowest one)**: 386 meV per atom
**DOS(E_F)**: 7.86 states/eV/cell
**Symmetry**: F-43m (216)